The following is a DFT calculation (PBE-GGA) of an optimized crystal structure of YEr4Tm7.

Cell lengths 6.8984, 6.6637, 11.9644 Å; angles 72.25, 44.77, 76.16 degrees
Fractional coordinates of all 12 atoms:
Y 0.0000 0.0000 0.0000
Er 0.4490 0.6552 0.3182
Er 0.5510 0.3448 0.6818
Er 0.7270 0.8119 0.6650
Er 0.2730 0.1881 0.3350
Tm 0.7756 0.5214 0.9754
Tm 0.2244 0.4786 0.0246
Tm 0.0653 0.3222 0.6725
Tm 0.9347 0.6778 0.3275
Tm 0.2605 0.8202 0.6317
Tm 0.5000 0.0000 0.0000
Tm 0.7395 0.1798 0.3683

Results
**Crystal system**: triclinic
**Formation energy**: 1.05 eV/f.u.
**Volume**: 30.725 Å³/atom

The following is a DFT calculation (PBE-GGA) of an optimized crystal structure of SrPmBi.

Cell lengths 4.7602, 5.3305, 5.3305 Å; angles 120.00, 90.00, 90.00 degrees
Fractional coordinates of all 3 atoms:
Sr 0.6363 0.6667 0.3333
Bi 0.2419 0.3333 0.6667
Pm 0.1218 0.0000 0.0000

Results
**Crystal system**: trigonal
**Formation energy**: -1.11 eV/f.u.
**Volume**: 39.045 Å³/atom